This record from the Alexandria database describes an optimized crystal structure of Mn2CoSnO. The functional is GGA+U.

Summary:
* total energy: -6.0489 eV/atom

The structure in CIF format:
```
data_Mn2CoSnO
_symmetry_space_group_name_H-M 'P 4/m m m'
_symmetry_Int_Tables_number 123
_symmetry_space_group_name_Hall '-P 4 2'
_cell_length_a 4.298
_cell_length_b 4.298
_cell_length_c 4.351
_cell_angle_alpha 90.00
_cell_angle_beta 90.00
_cell_angle_gamma 90.00
loop_
_atom_site_label
_atom_site_type_symbol
_atom_site_fract_x
_atom_site_fract_y
_atom_site_fract_z
Mn1 Mn 0.000 0.500 0.000
Co1 Co 0.000 0.000 0.500
Sn1 Sn 0.500 0.500 0.500
O1 O 0.000 0.000 0.000
```